No. 1
{"formula": "HoTh4Sb5", "functional": "PBE", "state": "relaxed", "lattice_angstrom": [[-2.240, 3.169, 11.211], [2.240, -3.169, 11.211], [2.240, 3.169, -11.211]], "species": ["Ho", "Th", "Th", "Th", "Th", "Sb", "Sb", "Sb", "Sb", "Sb"], "frac_coords": [[0.000, 0.000, 0.000], [0.198, 0.198, 0.000], [0.400, 0.400, 0.000], [0.600, 0.600, 0.000], [0.802, 0.802, 0.000], [0.096, 0.596, 0.500], [0.299, 0.799, 0.500], [0.500, 0.000, 0.500], [0.701, 0.201, 0.500], [0.904, 0.404, 0.500]], "space_group": "Immm (71)", "crystal_system": "orthorhombic"}



No. 2
{"formula": "Ho2ThSb", "functional": "PBE", "state": "relaxed", "lattice_angstrom": [[1.946, 1.123, 9.579], [-1.946, 1.123, 9.579], [0.000, -2.247, 9.579]], "species": ["Ho", "Ho", "Th", "Sb"], "frac_coords": [[0.236, 0.236, 0.236], [0.764, 0.764, 0.764], [0.000, 0.000, 0.000], [0.500, 0.500, 0.500]], "de_polymorph_ev_per_atom": 0.212, "space_group": "R-3m (166)", "crystal_system": "trigonal"}



No. 3
{"formula": "Ho2ThSb", "functional": "PBE", "state": "relaxed", "lattice_angstrom": [[3.911, 0.000, 0.000], [0.000, 3.911, 0.000], [0.000, 0.000, 7.430]], "species": ["Ho", "Ho", "Th", "Sb"], "frac_coords": [[0.000, 0.000, 0.219], [0.000, 0.000, 0.781], [0.500, 0.500, 0.500], [0.500, 0.500, 0.000]], "de_polymorph_ev_per_atom": 0.000, "space_group": "P4/mmm (123)", "crystal_system": "tetragonal"}



No. 4
{"formula": "Ho3TmTh2Sb6", "functional": "PBE", "state": "relaxed", "lattice_angstrom": [[9.607, -2.211, 0.000], [9.607, 2.211, 0.000], [-2.010, 0.000, 8.578]], "species": ["Ho", "Ho", "Ho", "Tm", "Th", "Th", "Sb", "Sb", "Sb", "Sb", "Sb", "Sb"], "frac_coords": [[0.000, 0.000, 0.000], [0.332, 0.332, 0.666], [0.668, 0.668, 0.334], [0.000, 0.000, 0.500], [0.335, 0.335, 0.169], [0.665, 0.665, 0.831], [0.165, 0.165, 0.089], [0.165, 0.165, 0.575], [0.497, 0.497, 0.747], [0.503, 0.503, 0.253], [0.835, 0.835, 0.425], [0.835, 0.835, 0.911]], "space_group": "C2/m (12)", "crystal_system": "monoclinic"}



No. 5
{"formula": "HoTmTh2Sb5", "functional": "PBE", "state": "relaxed", "lattice_angstrom": [[5.221, 0.000, 0.000], [0.000, 5.221, 0.000], [0.000, 0.000, 11.431]], "species": ["Ho", "Tm", "Th", "Th", "Sb", "Sb", "Sb", "Sb", "Sb"], "frac_coords": [[0.000, 0.000, 0.000], [0.000, 0.000, 0.500], [0.500, 0.500, 0.299], [0.500, 0.500, 0.701], [0.000, 0.000, 0.248], [0.000, 0.000, 0.752], [0.000, 0.500, 0.500], [0.500, 0.000, 0.500], [0.500, 0.500, 0.000]], "space_group": "P4/mmm (123)", "crystal_system": "tetragonal"}



No. 6
{"formula": "HoTmTh2Sb4", "functional": "PBE", "state": "relaxed", "lattice_angstrom": [[7.631, 0.000, 0.000], [0.000, 4.444, 0.000], [-2.593, 0.000, 7.246]], "species": ["Ho", "Tm", "Th", "Th", "Sb", "Sb", "Sb", "Sb"], "frac_coords": [[0.000, 0.000, 0.000], [0.000, 0.500, 0.500], [0.500, 0.000, 0.500], [0.500, 0.500, 0.000], [0.238, 0.000, 0.745], [0.239, 0.500, 0.247], [0.761, 0.500, 0.753], [0.762, 0.000, 0.255]], "space_group": "P2/m (10)", "crystal_system": "monoclinic"}



No. 7
{"formula": "HoTm2ThSb4", "functional": "PBE", "state": "relaxed", "lattice_angstrom": [[7.591, 0.000, 0.000], [0.000, 4.398, 0.000], [-2.537, 0.000, 7.163]], "species": ["Ho", "Tm", "Tm", "Th", "Sb", "Sb", "Sb", "Sb"], "frac_coords": [[0.000, 0.000, 0.000], [0.500, 0.000, 0.500], [0.500, 0.500, 0.000], [0.000, 0.500, 0.500], [0.255, 0.500, 0.248], [0.259, 0.000, 0.758], [0.741, 0.000, 0.242], [0.745, 0.500, 0.752]], "space_group": "P2/m (10)", "crystal_system": "monoclinic"}



No. 8
{"formula": "HoTh2ZrSb5", "functional": "PBE", "state": "relaxed", "lattice_angstrom": [[5.258, 0.000, 0.000], [0.000, 5.258, 0.000], [0.000, 0.000, 11.179]], "species": ["Ho", "Th", "Th", "Zr", "Sb", "Sb", "Sb", "Sb", "Sb"], "frac_coords": [[0.000, 0.000, 0.000], [0.500, 0.500, 0.197], [0.500, 0.500, 0.803], [0.000, 0.000, 0.500], [0.000, 0.000, 0.258], [0.000, 0.000, 0.742], [0.000, 0.500, 0.000], [0.500, 0.000, 0.000], [0.500, 0.500, 0.500]], "space_group": "P4/mmm (123)", "crystal_system": "tetragonal"}



No. 9
{"formula": "HoTiSb", "functional": "PBE", "state": "relaxed", "lattice_angstrom": [[4.194, 0.000, 0.000], [0.000, 4.194, 0.000], [0.000, 0.000, 7.898]], "species": ["Ho", "Ho", "Ti", "Ti", "Sb", "Sb"], "frac_coords": [[0.250, 0.250, 0.152], [0.750, 0.750, 0.848], [0.250, 0.750, 0.500], [0.750, 0.250, 0.500], [0.250, 0.250, 0.750], [0.750, 0.750, 0.250]], "space_group": "P4/nmm (129)", "crystal_system": "tetragonal"}



No. 10
{"formula": "HoTiSb3", "functional": "PBE", "state": "relaxed", "lattice_angstrom": [[12.878, 0.000, 0.000], [0.000, 6.288, 0.000], [0.000, 0.000, 6.140]], "species": ["Ho", "Ho", "Ho", "Ho", "Ti", "Ti", "Ti", "Ti", "Sb", "Sb", "Sb", "Sb", "Sb", "Sb", "Sb", "Sb", "Sb", "Sb", "Sb", "Sb"], "frac_coords": [[0.183, 0.009, 0.250], [0.183, 0.491, 0.750], [0.817, 0.509, 0.250], [0.817, 0.991, 0.750], [0.405, 0.750, 0.000], [0.405, 0.750, 0.500], [0.595, 0.250, 0.000], [0.595, 0.250, 0.500], [0.003, 0.750, 0.000], [0.003, 0.750, 0.500], [0.266, 0.501, 0.250], [0.266, 0.999, 0.750], [0.426, 0.113, 0.250], [0.426, 0.387, 0.750], [0.574, 0.613, 0.250], [0.574, 0.887, 0.750], [0.734, 0.001, 0.250], [0.734, 0.499, 0.750], [0.997, 0.250, 0.000], [0.997, 0.250, 0.500]], "space_group": "Pbcm (57)", "crystal_system": "orthorhombic"}



No. 11
{"formula": "HoTi3Sb2", "functional": "PBE", "state": "relaxed", "lattice_angstrom": [[8.467, -2.057, 0.000], [8.467, 2.057, 0.000], [-3.801, 0.000, 7.570]], "species": ["Ho", "Ho", "Ti", "Ti", "Ti", "Ti", "Ti", "Ti", "Sb", "Sb", "Sb", "Sb"], "frac_coords": [[0.134, 0.134, 0.057], [0.866, 0.866, 0.943], [0.058, 0.058, 0.422], [0.309, 0.309, 0.521], [0.413, 0.413, 0.337], [0.587, 0.587, 0.663], [0.691, 0.691, 0.479], [0.942, 0.942, 0.578], [0.218, 0.218, 0.747], [0.475, 0.475, 0.814], [0.525, 0.525, 0.186], [0.782, 0.782, 0.253]], "space_group": "C2/m (12)", "crystal_system": "monoclinic"}



No. 12
{"formula": "Ho3TlSb2", "functional": "PBE", "state": "relaxed", "lattice_angstrom": [[7.096, -3.085, 0.000], [7.096, 3.085, 0.000], [-2.552, 0.000, 8.125]], "species": ["Ho", "Ho", "Ho", "Ho", "Ho", "Ho", "Tl", "Tl", "Sb", "Sb", "Sb", "Sb"], "frac_coords": [[0.001, 0.999, 0.750], [0.324, 0.324, 0.412], [0.324, 0.324, 0.912], [0.676, 0.676, 0.088], [0.676, 0.676, 0.588], [0.999, 0.001, 0.250], [0.499, 0.501, 0.250], [0.501, 0.499, 0.750], [0.164, 0.164, 0.082], [0.164, 0.164, 0.582], [0.836, 0.836, 0.418], [0.836, 0.836, 0.918]], "space_group": "C2/c (15)", "crystal_system": "monoclinic"}



No. 13
{"formula": "Ho8Tl2Sb", "functional": "PBE", "state": "relaxed", "lattice_angstrom": [[4.335, -7.290, 0.000], [4.335, 7.290, 0.000], [-2.208, 0.000, 5.177]], "species": ["Ho", "Ho", "Ho", "Ho", "Ho", "Ho", "Ho", "Ho", "Tl", "Tl", "Sb"], "frac_coords": [[0.094, 0.320, 0.622], [0.218, 0.782, 0.000], [0.320, 0.094, 0.622], [0.400, 0.400, 0.203], [0.600, 0.600, 0.797], [0.680, 0.906, 0.378], [0.782, 0.218, 0.000], [0.906, 0.680, 0.378], [0.305, 0.695, 0.500], [0.695, 0.305, 0.500], [0.000, 0.000, 0.000]], "space_group": "C2/m (12)", "crystal_system": "monoclinic"}



No. 14
{"formula": "Ho4TlSb2", "functional": "PBE", "state": "relaxed", "lattice_angstrom": [[6.000, 0.000, 0.000], [0.000, 6.632, 0.000], [-2.152, 0.000, 9.983]], "species": ["Ho", "Ho", "Ho", "Ho", "Ho", "Ho", "Ho", "Ho", "Tl", "Tl", "Sb", "Sb", "Sb", "Sb"], "frac_coords": [[0.011, 0.250, 0.340], [0.142, 0.250, 0.962], [0.463, 0.507, 0.243], [0.463, 0.993, 0.243], [0.537, 0.007, 0.757], [0.537, 0.493, 0.757], [0.858, 0.750, 0.038], [0.989, 0.750, 0.660], [0.053, 0.250, 0.666], [0.947, 0.750, 0.334], [0.313, 0.750, 0.959], [0.430, 0.750, 0.503], [0.570, 0.250, 0.497], [0.687, 0.250, 0.041]], "space_group": "P2_1/m (11)", "crystal_system": "monoclinic"}



No. 15
{"formula": "Ho8Tl3Sb2", "functional": "PBE", "state": "relaxed", "lattice_angstrom": [[4.377, -8.009, 0.000], [4.377, 8.009, 0.000], [0.000, 0.000, 5.476]], "species": ["Ho", "Ho", "Ho", "Ho", "Ho", "Ho", "Ho", "Ho", "Tl", "Tl", "Tl", "Sb", "Sb"], "frac_coords": [[0.108, 0.892, 0.000], [0.175, 0.410, 0.500], [0.318, 0.682, 0.000], [0.410, 0.175, 0.500], [0.590, 0.825, 0.500], [0.682, 0.318, 0.000], [0.825, 0.590, 0.500], [0.892, 0.108, 0.000], [0.000, 0.000, 0.500], [0.318, 0.318, 0.000], [0.682, 0.682, 0.000], [0.225, 0.775, 0.500], [0.775, 0.225, 0.500]], "space_group": "Cmmm (65)", "crystal_system": "orthorhombic"}



No. 16
{"formula": "Ho5Tl2Sb2", "functional": "PBE", "state": "relaxed", "lattice_angstrom": [[7.780, -4.052, 0.000], [7.780, 4.052, 0.000], [0.000, 0.000, 8.090]], "species": ["Ho", "Ho", "Ho", "Ho", "Ho", "Ho", "Ho", "Ho", "Ho", "Ho", "Tl", "Tl", "Tl", "Tl", "Sb", "Sb", "Sb", "Sb"], "frac_coords": [[0.000, 0.000, 0.000], [0.030, 0.693, 0.665], [0.193, 0.530, 0.165], [0.307, 0.970, 0.665], [0.470, 0.807, 0.165], [0.500, 0.500, 0.500], [0.530, 0.193, 0.835], [0.693, 0.030, 0.335], [0.807, 0.470, 0.835], [0.970, 0.307, 0.335], [0.134, 0.866, 0.368], [0.366, 0.634, 0.868], [0.634, 0.366, 0.132], [0.866, 0.134, 0.632], [0.203, 0.203, 0.000], [0.297, 0.297, 0.500], [0.703, 0.703, 0.500], [0.797, 0.797, 0.000]], "space_group": "Cmce (64)", "crystal_system": "orthorhombic"}



No. 17
{"formula": "Ho4TlSb", "functional": "PBE", "state": "relaxed", "lattice_angstrom": [[2.748, -10.739, 0.000], [2.748, 10.739, 0.000], [0.000, 0.000, 6.350]], "species": ["Ho", "Ho", "Ho", "Ho", "Ho", "Ho", "Ho", "Ho", "Tl", "Tl", "Sb", "Sb"], "frac_coords": [[0.066, 0.934, 0.750], [0.209, 0.791, 0.501], [0.209, 0.791, 0.999], [0.365, 0.635, 0.750], [0.635, 0.365, 0.250], [0.791, 0.209, 0.001], [0.791, 0.209, 0.499], [0.934, 0.066, 0.250], [0.074, 0.926, 0.250], [0.926, 0.074, 0.750], [0.345, 0.655, 0.250], [0.655, 0.345, 0.750]], "space_group": "Cmcm (63)", "crystal_system": "orthorhombic"}



No. 18
{"formula": "Ho5TlSb2", "functional": "PBE", "state": "relaxed", "lattice_angstrom": [[2.841, -5.750, 0.000], [2.841, 5.750, 0.000], [0.000, 0.000, 14.618]], "species": ["Ho", "Ho", "Ho", "Ho", "Ho", "Ho", "Ho", "Ho", "Ho", "Ho", "Tl", "Tl", "Sb", "Sb", "Sb", "Sb"], "frac_coords": [[0.073, 0.927, 0.599], [0.073, 0.927, 0.901], [0.378, 0.622, 0.549], [0.378, 0.622, 0.951], [0.409, 0.591, 0.250], [0.591, 0.409, 0.750], [0.622, 0.378, 0.049], [0.622, 0.378, 0.451], [0.927, 0.073, 0.099], [0.927, 0.073, 0.401], [0.298, 0.702, 0.750], [0.702, 0.298, 0.250], [0.202, 0.798, 0.109], [0.202, 0.798, 0.391], [0.798, 0.202, 0.609], [0.798, 0.202, 0.891]], "space_group": "Cmcm (63)", "crystal_system": "orthorhombic"}



No. 19
{"formula": "HoTm3Sb3", "functional": "PBE", "state": "relaxed", "lattice_angstrom": [[9.096, 0.000, 0.000], [0.000, 9.096, 0.000], [0.000, 0.000, 9.096]], "species": ["Ho", "Ho", "Ho", "Ho", "Tm", "Tm", "Tm", "Tm", "Tm", "Tm", "Tm", "Tm", "Tm", "Tm", "Tm", "Tm", "Sb", "Sb", "Sb", "Sb", "Sb", "Sb", "Sb", "Sb", "Sb", "Sb", "Sb", "Sb"], "frac_coords": [[0.072, 0.428, 0.572], [0.428, 0.572, 0.072], [0.572, 0.072, 0.428], [0.928, 0.928, 0.928], [0.074, 0.574, 0.926], [0.177, 0.823, 0.323], [0.178, 0.178, 0.178], [0.322, 0.822, 0.678], [0.323, 0.177, 0.823], [0.426, 0.426, 0.426], [0.574, 0.926, 0.074], [0.677, 0.677, 0.677], [0.678, 0.322, 0.822], [0.822, 0.678, 0.322], [0.823, 0.323, 0.177], [0.926, 0.074, 0.574], [0.001, 0.252, 0.876], [0.124, 0.501, 0.248], [0.248, 0.124, 0.501], [0.252, 0.876, 0.001], [0.376, 0.499, 0.748], [0.499, 0.748, 0.376], [0.501, 0.248, 0.124], [0.624, 0.999, 0.752], [0.748, 0.376, 0.499], [0.752, 0.624, 0.999], [0.876, 0.001, 0.252], [0.999, 0.752, 0.624]], "de_polymorph_ev_per_atom": 0.000, "space_group": "P2_13 (198)", "crystal_system": "cubic"}



No. 20
{"formula": "HoTm2Sb", "functional": "PBE", "state": "relaxed", "lattice_angstrom": [[3.961, 0.000, 0.000], [0.000, 3.961, 0.000], [0.000, 0.000, 7.113]], "species": ["Ho", "Tm", "Tm", "Sb"], "frac_coords": [[0.000, 0.000, 0.000], [0.500, 0.500, 0.273], [0.500, 0.500, 0.727], [0.000, 0.000, 0.500]], "de_polymorph_ev_per_atom": 0.087, "space_group": "P4/mmm (123)", "crystal_system": "tetragonal"}



Across the entries above, magnetization takes the values 0.0, 0.0, 0.0, 0.0, 0.0, 0.0, 0.0, 0.0, 0.0, 0.0, 0.0, 0.0, 0.0, 0.0, 0.0, 0.0, 0.1, 0.0, 0.0, 0.0 μB/f.u., respectively.
Across the entries above, raw formation energy takes the values -944, -272, -484, -1039, -219, -998, -1047, -29, -731, -655, -458, -739, -171, -532, -293, -689, -300, -353, -931, -448 meV/atom, respectively.
Across the entries above, density takes the values 8.88, 9.04, 9.99, 8.47, 7.50, 8.68, 8.48, 7.14, 8.00, 7.72, 6.95, 8.80, 9.39, 9.26, 9.41, 9.62, 8.74, 8.85, 9.15, 9.29 g/cm3, respectively.